Pr2ScCu4, optimized geometry, DFT GGA-PBE; ΔE_f = -157.3 meV/atom; crystal system = monoclinic; theoretical density = 6.7 g/cm3
1.0
10.236 0.000 0.000
0.000 4.452 0.000
-2.247 0.000 6.276
Pr Sc Cu
4 2 8
direct
0.150 0.000 0.236 Pr
0.350 0.500 0.764 Pr
0.650 0.500 0.236 Pr
0.850 0.000 0.764 Pr
0.000 0.500 0.500 Sc
0.500 0.000 0.500 Sc
0.099 0.500 0.921 Cu
0.142 0.000 0.742 Cu
0.358 0.500 0.258 Cu
0.401 0.000 0.079 Cu
0.599 0.000 0.921 Cu
0.642 0.500 0.742 Cu
0.858 0.000 0.258 Cu
0.901 0.500 0.079 Cu